1.
Computed, not measured: an optimized crystal structure of CaAc12Y3 at the PBE level of DFT.

a = 5.521 Å, b = 5.521 Å, c = 22.114 Å
α = 90.00°, β = 90.00°, γ = 90.00°
Sites, in units of the cell vectors:
Ac (0.000, 0.500, 0.376)
Ac (0.000, 0.500, 0.129)
Ac (0.500, 0.000, 0.624)
Ac (0.500, 0.500, 0.000)
Ac (0.500, 0.000, 0.376)
Ac (0.500, 0.500, 0.252)
Ac (0.500, 0.000, 0.129)
Ac (0.000, 0.500, 0.871)
Ac (0.000, 0.500, 0.624)
Ac (0.500, 0.000, 0.871)
Ac (0.500, 0.500, 0.500)
Ac (0.500, 0.500, 0.748)
Y (0.000, 0.000, 0.748)
Y (0.000, 0.000, 0.252)
Y (0.000, 0.000, 0.500)
Ca (0.000, 0.000, 0.000)

## Properties
VASP energy ... -4.39 eV/atom
DFT formation energy ... 0.027 eV per atom
Magnetic moment ... 0.000 μB/cell

=====

2.
Computed, not measured: an optimized crystal structure of DyLuGe2 at the PBE level of DFT.

a = 3.847 Å, b = 3.847 Å, c = 7.874 Å
α = 75.86°, β = 75.86°, γ = 60.00°
Sites, in units of the cell vectors:
Ge (0.752, 0.752, 0.745)
Ge (0.248, 0.248, 0.255)
Dy (0.000, 0.000, 0.000)
Lu (0.500, 0.500, 0.500)

## Properties
VASP energy ... -5.21 eV/atom
DFT formation energy ... -0.622 eV per atom
Magnetic moment ... 0.000 μB/cell

=====

3.
Computed, not measured: an optimized crystal structure of LiCaBi at the PBE level of DFT.

a = 4.336 Å, b = 4.711 Å, c = 4.711 Å
α = 120.00°, β = 90.00°, γ = 90.00°
Sites, in units of the cell vectors:
Li (0.166, 0.000, 0.000)
Bi (0.167, 0.333, 0.667)
Ca (0.667, 0.667, 0.333)

## Properties
VASP energy ... -3.25 eV/atom
DFT formation energy ... -0.648 eV per atom
Magnetic moment ... 0.002 μB/cell

=====

4.
Computed, not measured: an optimized crystal structure of CaReAg2 at the PBE level of DFT.

a = 5.380 Å, b = 5.380 Å, c = 5.380 Å
α = 134.46°, β = 134.46°, γ = 66.37°
Sites, in units of the cell vectors:
Ca (0.500, 0.500, 0.000)
Re (0.750, 0.250, 0.500)
Ag (0.000, 0.000, 0.000)
Ag (0.250, 0.750, 0.500)

## Properties
Offset from the most stable computed form ... 0.251 eV/atom
VASP energy ... -4.31 eV/atom
DFT formation energy ... 0.724 eV per atom
Magnetic moment ... 2.098 μB/cell

=====

5.
Computed, not measured: an optimized crystal structure of Ca2UP3 at the PBE level of DFT.

a = 7.061 Å, b = 7.061 Å, c = 7.021 Å
α = 99.68°, β = 99.68°, γ = 119.98°
Sites, in units of the cell vectors:
Ca (0.833, 0.167, 0.500)
Ca (0.496, 0.504, 0.500)
Ca (0.171, 0.829, 0.500)
Ca (0.333, 0.667, 0.000)
P (0.610, 0.943, 0.771)
P (0.257, 0.237, 0.774)
P (0.763, 0.743, 0.226)
P (0.057, 0.390, 0.229)
P (0.409, 0.096, 0.226)
P (0.904, 0.591, 0.774)
U (0.001, 0.999, 0.000)
U (0.666, 0.334, 0.000)

## Properties
VASP energy ... -6.35 eV/atom
DFT formation energy ... -1.096 eV per atom
Magnetic moment ... 2.007 μB/cell

=====

6.
Computed, not measured: an optimized crystal structure of MnSiSb2 at the PBE level of DFT.

a = 4.888 Å, b = 4.888 Å, c = 3.552 Å
α = 90.00°, β = 90.00°, γ = 98.89°
Sites, in units of the cell vectors:
Sb (0.500, 0.500, 0.000)
Sb (0.000, 0.000, 0.000)
Si (0.500, 0.000, 0.500)
Mn (0.000, 0.500, 0.500)

## Properties
VASP energy ... -5.27 eV/atom
ΔE_f (raw) ... 0.44 eV/atom
Magnetic moment ... 3.653 μB/cell

=====

7.
Computed, not measured: an optimized crystal structure of Hf2TaTe at the PBE level of DFT.

a = 3.394 Å, b = 3.394 Å, c = 9.118 Å
α = 79.27°, β = 79.27°, γ = 60.00°
Sites, in units of the cell vectors:
Hf (0.084, 0.084, 0.749)
Hf (0.249, 0.249, 0.254)
Ta (0.500, 0.500, 0.501)
Te (0.668, 0.668, 0.996)

## Properties
VASP energy ... -8.71 eV/atom
ΔE_f (raw) ... 0.01 eV/atom
Magnetic moment ... 0.000 μB/cell

=====

8.
Computed, not measured: an optimized crystal structure of KYHf at the PBE level of DFT.

a = 6.005 Å, b = 6.005 Å, c = 6.352 Å
α = 90.00°, β = 90.00°, γ = 120.00°
Sites, in units of the cell vectors:
Y (0.667, 0.333, 0.250)
Y (0.333, 0.667, 0.750)
Hf (0.667, 0.333, 0.750)
Hf (0.333, 0.667, 0.250)
K (0.000, 0.000, 0.000)
K (0.000, 0.000, 0.500)

## Properties
Offset from the most stable computed form ... 0.700 eV/atom
VASP energy ... -4.83 eV/atom
DFT formation energy ... 1.012 eV per atom
Magnetic moment ... 3.604 μB/cell